First-principles (PBEsol) data for an optimized crystal structure of CuNiSe, as listed in Alexandria.

Output
The calculation puts the density at 7.7 g/cm³. For the density of states at the Fermi level, the calculation gives 0.71 states/eV per atom. For the electronic total energy, the calculation gives -4.730 eV/atom. The value obtained for the distance to the lowest polymorph of the same formula is 0 meV/atom. For the formation energy (no corrections), the calculation gives 0.051 eV per atom.

Unit cell a=3.9387 b=3.9387 c=3.9387 alpha=60.00 beta=60.00 gamma=60.00
Closest atoms and distances in Å follow each position.
Atoms (fractional coordinates):
Cu 0.0000 0.0000 0.0000  4 Se 2.41
Ni 0.5000 0.5000 0.5000  4 Se 2.41
Se 0.2500 0.2500 0.2500  4 Cu 2.41, 4 Ni 2.41



First-principles (PBEsol) data for an optimized crystal structure of Cu2NiSnSe4, as listed in Alexandria.

Output
The calculation puts the density at 6.0 g/cm³. For the density of states at the Fermi level, the calculation gives 0.80 states/eV per atom. For the electronic total energy, the calculation gives -4.539 eV/atom. For the formation energy (no corrections), the calculation gives -0.228 eV per atom.

Unit cell a=5.5392 b=5.5392 c=6.8286 alpha=113.93 beta=113.93 gamma=90.00
Closest atoms and distances in Å follow each position.
Atoms (fractional coordinates):
Cu 0.0000 0.0000 0.0000  4 Se 2.38
Cu 0.2500 0.7500 0.5000  4 Se 2.37
Ni 0.5000 0.5000 0.0000  4 Se 2.29
Sn 0.7500 0.2500 0.5000  4 Se 2.61
Se 0.8761 0.8364 0.2252  1 Ni 2.29, 2 Cu 2.37-2.38
Se 0.1636 0.6508 0.7748  1 Ni 2.29, 2 Cu 2.37-2.38
Se 0.3492 0.3888 0.2252  1 Ni 2.29, 2 Cu 2.37-2.38
Se 0.6112 0.1239 0.7748  1 Ni 2.29, 2 Cu 2.37-2.38



First-principles (PBEsol) data for an optimized crystal structure of TlCu2NiSe, as listed in Alexandria.

Output
The calculation puts the density at 8.2 g/cm³. For the density of states at the Fermi level, the calculation gives 0.76 states/eV per atom. For the electronic total energy, the calculation gives -3.574 eV/atom. For the formation energy (no corrections), the calculation gives 0.687 eV per atom.

Unit cell a=4.4760 b=4.4760 c=4.7399 alpha=90.00 beta=90.00 gamma=90.00
Closest atoms and distances in Å follow each position.
Atoms (fractional coordinates):
Ni 0.0000 0.0000 0.0000  4 Cu 2.24, 2 Tl 2.37
Tl 0.0000 0.0000 0.5000  2 Ni 2.37
Cu 0.0000 0.5000 0.0000  2 Ni 2.24
Cu 0.5000 0.0000 0.0000  2 Ni 2.24
Se 0.5000 0.5000 0.5000  4 Tl 3.16, 8 Cu 3.26



First-principles (PBEsol) data for an optimized crystal structure of CuSiNi6, as listed in Alexandria.

Output
The calculation puts the density at 8.8 g/cm³. For the density of states at the Fermi level, the calculation gives 1.15 states/eV per atom. For the electronic total energy, the calculation gives -6.109 eV/atom. For the formation energy (no corrections), the calculation gives -0.231 eV per atom.

Unit cell a=6.0093 b=6.0093 c=9.8303 alpha=90.00 beta=90.00 gamma=109.60
Closest atoms and distances in Å follow each position.
Atoms (fractional coordinates):
Cu 0.2529 0.7471 0.0000  12 Ni 2.43-2.49
Cu 0.7471 0.2529 0.0000  12 Ni 2.43-2.49
Cu 0.5000 0.5000 0.7512  12 Ni 2.45-2.49
Cu 0.5000 0.5000 0.2488  12 Ni 2.45-2.49
Ni 0.2484 0.7516 0.7467  8 Ni 2.42-2.49, 2 Si 2.43-2.44, 2 Cu 2.47-2.49
Ni 0.8780 0.6289 0.8734  1 Si 2.42, 8 Ni 2.44-2.49, 3 Cu 2.45-2.47
Ni 0.1220 0.3711 0.8734  1 Si 2.42, 8 Ni 2.44-2.49, 3 Cu 2.45-2.47
Ni 0.7516 0.2484 0.7467  8 Ni 2.42-2.49, 2 Si 2.43-2.44, 2 Cu 2.47-2.49
Ni 0.3711 0.1220 0.8734  1 Si 2.42, 8 Ni 2.44-2.49, 3 Cu 2.45-2.47
Ni 0.6289 0.8780 0.8734  1 Si 2.42, 8 Ni 2.44-2.49, 3 Cu 2.45-2.47
Ni 0.5000 0.5000 0.5000  2 Si 2.42, 8 Ni 2.46, 2 Cu 2.47
Ni 0.1213 0.3721 0.6233  8 Ni 2.42-2.47, 3 Si 2.44-2.46, 1 Cu 2.49
Ni 0.3721 0.1213 0.6233  8 Ni 2.42-2.47, 3 Si 2.44-2.46, 1 Cu 2.49
Ni 0.2484 0.7516 0.2533  8 Ni 2.42-2.49, 2 Si 2.43-2.44, 2 Cu 2.47-2.49
Ni 0.8787 0.6279 0.3767  8 Ni 2.42-2.47, 3 Si 2.44-2.46, 1 Cu 2.49
Ni 0.1213 0.3721 0.3767  8 Ni 2.42-2.47, 3 Si 2.44-2.46, 1 Cu 2.49
Ni 0.7516 0.2484 0.2533  8 Ni 2.42-2.49, 2 Si 2.43-2.44, 2 Cu 2.47-2.49
Ni 0.3721 0.1213 0.3767  8 Ni 2.42-2.47, 3 Si 2.44-2.46, 1 Cu 2.49
Ni 0.6279 0.8787 0.3767  8 Ni 2.42-2.47, 3 Si 2.44-2.46, 1 Cu 2.49
Ni 0.5000 0.5000 0.0000  4 Cu 2.43-2.45, 8 Ni 2.48
Ni 0.1220 0.3711 0.1266  1 Si 2.42, 8 Ni 2.44-2.49, 3 Cu 2.45-2.47
Ni 0.3711 0.1220 0.1266  1 Si 2.42, 8 Ni 2.44-2.49, 3 Cu 2.45-2.47
Ni 0.0000 0.0000 0.5000  8 Ni 2.43, 4 Si 2.47-2.49
Ni 0.6279 0.8787 0.6233  8 Ni 2.42-2.47, 3 Si 2.44-2.46, 1 Cu 2.49
Ni 0.8787 0.6279 0.6233  8 Ni 2.42-2.47, 3 Si 2.44-2.46, 1 Cu 2.49
Ni 0.0000 0.0000 0.0000  2 Si 2.44, 8 Ni 2.44, 2 Cu 2.48
Ni 0.6289 0.8780 0.1266  1 Si 2.42, 8 Ni 2.44-2.49, 3 Cu 2.45-2.47
Ni 0.8780 0.6289 0.1266  1 Si 2.42, 8 Ni 2.44-2.49, 3 Cu 2.45-2.47
Si 0.2533 0.7467 0.5000  12 Ni 2.42-2.49
Si 0.7467 0.2533 0.5000  12 Ni 2.42-2.49
Si 0.0000 0.0000 0.7517  12 Ni 2.42-2.47
Si 0.0000 0.0000 0.2483  12 Ni 2.42-2.47



First-principles (PBEsol) data for an optimized crystal structure of Sr2CuNi, as listed in Alexandria.

Output
The calculation puts the density at 4.8 g/cm³. For the density of states at the Fermi level, the calculation gives 0.62 states/eV per atom. The calculated formation energy is 0.02 eV per formula unit. For the electronic total energy, the calculation gives -3.538 eV/atom.

Unit cell a=4.2163 b=4.3134 c=6.0192 alpha=111.00 beta=90.00 gamma=90.00
Closest atoms and distances in Å follow each position.
Atoms (fractional coordinates):
Sr 0.0000 0.0141 0.0282  2 Ni 3.03, 4 Cu 3.17
Sr 0.5000 0.7347 0.4694  2 Cu 3.05, 4 Ni 3.18
Cu 0.5000 0.4266 0.8533  2 Ni 2.40
Ni 0.0000 0.3245 0.6491  2 Cu 2.40



First-principles (PBEsol) data for an optimized crystal structure of SrCuNi, as listed in Alexandria.

Output
The calculation puts the density at 5.8 g/cm³. For the density of states at the Fermi level, the calculation gives 0.58 states/eV per atom. The calculated formation energy is 0.17 eV per formula unit. For the electronic total energy, the calculation gives -4.055 eV/atom. The value obtained for the distance to the lowest polymorph of the same formula is 0 meV/atom.

Unit cell a=4.0702 b=4.0702 c=4.2040 alpha=90.00 beta=90.00 gamma=120.00
Closest atoms and distances in Å follow each position.
Atoms (fractional coordinates):
Sr 0.3333 0.6667 0.5000  6 Ni 3.15, 6 Cu 3.15
Cu 0.0000 0.0000 0.0000  3 Ni 2.35
Ni 0.6667 0.3333 0.0000  3 Cu 2.35